Entry 1:
# Ce2Pm4Sb3N2, optimized geometry, DFT GGA-PBE
# energy relative to the elements, uncorrected: -1141 meV per atom
# calculated density: 7.0 Mg/m³
# magnetic moment: 0.194 μB per atom
data_Ce2Pm4Sb3N2
_chemical_formula_sum 'Ce4 Pm8 Sb6 N4'
_cell_length_a 4.796
_cell_length_b 4.796
_cell_length_c 25.795
_cell_angle_alpha 90.00
_cell_angle_beta 90.00
_cell_angle_gamma 90.00
_space_group_name_H-M_alt 'I 4/m m m'
_space_group_IT_number 139
_space_group_name_Hall '-I 4 2'
loop_
_atom_site_label
_atom_site_fract_x
_atom_site_fract_y
_atom_site_fract_z
_atom_site_occupancy
Ce1 0.000 0.000 0.192 1
Pm1 0.000 0.500 0.082 1
Sb1 0.000 0.000 0.323 1
Sb2 0.000 0.000 0.500 1
N1 0.000 0.000 0.107 1

Entry 2:
# CePmSbN, optimized geometry, DFT GGA-PBE
# energy relative to the elements, uncorrected: -1289 meV per atom
# calculated density: 7.2 Mg/m³
# magnetic moment: 0.158 μB per atom
data_CePmSbN
_chemical_formula_sum 'Ce2 Pm2 Sb2 N2'
_cell_length_a 4.614
_cell_length_b 4.614
_cell_length_c 9.169
_cell_angle_alpha 90.00
_cell_angle_beta 90.00
_cell_angle_gamma 90.00
_space_group_name_H-M_alt 'P 4/n m m'
_space_group_IT_number 129
loop_
_space_group_symop_operation_xyz
'x,y,z'
'-x,-y,-z'
'-y+1/2,x,z'
'y+1/2,-x,-z'
'-x+1/2,-y+1/2,z'
'x+1/2,y+1/2,-z'
'y,-x+1/2,z'
'-y,x+1/2,-z'
'x+1/2,-y,-z'
'-x+1/2,y,z'
'-y,-x,-z'
'y,x,z'
'-x,y+1/2,-z'
'x,-y+1/2,z'
'y+1/2,x+1/2,-z'
'-y+1/2,-x+1/2,z'
loop_
_atom_site_label
_atom_site_fract_x
_atom_site_fract_y
_atom_site_fract_z
_atom_site_occupancy
Ce1 0.250 0.750 0.000 1
Pm1 0.250 0.250 0.335 1
Sb1 0.250 0.250 0.697 1
N1 0.250 0.250 0.083 1

Entry 3:
# Ce2PmSe2N2, optimized geometry, DFT GGA-PBE
# energy relative to the elements, uncorrected: -1717 meV per atom
# calculated density: 6.4 Mg/m³
# magnetic moment: 0.152 μB per atom
data_Ce2PmSe2N2
_chemical_formula_sum 'Ce4 Pm2 Se4 N4'
_cell_length_a 13.275
_cell_length_b 3.991
_cell_length_c 7.031
_cell_angle_alpha 90.00
_cell_angle_beta 121.48
_cell_angle_gamma 90.00
_space_group_name_H-M_alt 'C 1 2/m 1'
_space_group_IT_number 12
_space_group_name_Hall '-C 2y'
loop_
_atom_site_label
_atom_site_fract_x
_atom_site_fract_y
_atom_site_fract_z
_atom_site_occupancy
Ce1 0.212 0.000 0.261 1
Pm1 0.000 0.000 0.500 1
Se1 0.086 0.500 0.856 1
N1 0.197 0.000 0.567 1

Entry 4:
# Ce2Pm3SmN6, optimized geometry, DFT GGA-PBE
# energy relative to the elements, uncorrected: -1490 meV per atom
# calculated density: 8.0 Mg/m³
# magnetic moment: 0.000 μB per atom
data_Ce2Pm3SmN6
_chemical_formula_sum 'Ce4 Pm6 Sm2 N12'
_cell_length_a 6.215
_cell_length_b 10.767
_cell_length_c 6.215
_cell_angle_alpha 90.00
_cell_angle_beta 109.47
_cell_angle_gamma 90.00
_space_group_name_H-M_alt 'C 1 2/m 1'
_space_group_IT_number 12
_space_group_name_Hall '-C 2y'
loop_
_atom_site_label
_atom_site_fract_x
_atom_site_fract_y
_atom_site_fract_z
_atom_site_occupancy
Ce1 0.000 0.167 0.000 1
Pm1 0.000 0.000 0.500 1
Pm2 0.000 0.333 0.500 1
Sm1 0.000 0.500 0.000 1
N1 0.239 0.000 0.241 1
N2 0.250 0.170 0.760 1

Entry 5:
# Ce3PmSm2N6, optimized geometry, DFT GGA-PBE
# energy relative to the elements, uncorrected: -1502 meV per atom
# calculated density: 8.1 Mg/m³
# magnetic moment: 0.001 μB per atom
data_Ce3PmSm2N6
_chemical_formula_sum 'Ce6 Pm2 Sm4 N12'
_cell_length_a 6.201
_cell_length_b 10.738
_cell_length_c 6.193
_cell_angle_alpha 90.00
_cell_angle_beta 109.50
_cell_angle_gamma 90.00
_space_group_name_H-M_alt 'C 1 2/m 1'
_space_group_IT_number 12
_space_group_name_Hall '-C 2y'
loop_
_atom_site_label
_atom_site_fract_x
_atom_site_fract_y
_atom_site_fract_z
_atom_site_occupancy
Ce1 0.000 0.000 0.000 1
Ce2 0.000 0.333 0.000 1
Pm1 0.000 0.500 0.500 1
Sm1 0.000 0.167 0.500 1
N1 0.246 0.167 0.239 1
N2 0.248 0.500 0.239 1

Entry 6:
# Ce3Pm2SmN6, optimized geometry, DFT GGA-PBE
# energy relative to the elements, uncorrected: -1496 meV per atom
# calculated density: 8.0 Mg/m³
# magnetic moment: 0.001 μB per atom
data_Ce3Pm2SmN6
_chemical_formula_sum 'Ce6 Pm4 Sm2 N12'
_cell_length_a 6.208
_cell_length_b 10.750
_cell_length_c 6.202
_cell_angle_alpha 90.00
_cell_angle_beta 109.49
_cell_angle_gamma 90.00
_space_group_name_H-M_alt 'C 1 2/m 1'
_space_group_IT_number 12
_space_group_name_Hall '-C 2y'
loop_
_atom_site_label
_atom_site_fract_x
_atom_site_fract_y
_atom_site_fract_z
_atom_site_occupancy
Ce1 0.000 0.000 0.000 1
Ce2 0.000 0.333 0.000 1
Pm1 0.000 0.167 0.500 1
Sm1 0.000 0.500 0.500 1
N1 0.245 0.500 0.238 1
N2 0.247 0.166 0.238 1

Entry 7:
# Ce2PmSmN4, optimized geometry, DFT GGA-PBE
# energy relative to the elements, uncorrected: -1499 meV per atom
# calculated density: 8.1 Mg/m³
# magnetic moment: 0.006 μB per atom
data_Ce2PmSmN4
_chemical_formula_sum 'Ce2 Pm1 Sm1 N4'
_cell_length_a 6.197
_cell_length_b 3.583
_cell_length_c 6.203
_cell_angle_alpha 90.00
_cell_angle_beta 109.49
_cell_angle_gamma 90.00
_space_group_name_H-M_alt 'P 1 2/m 1'
_space_group_IT_number 10
_space_group_name_Hall '-P 2y'
loop_
_atom_site_label
_atom_site_fract_x
_atom_site_fract_y
_atom_site_fract_z
_atom_site_occupancy
Ce1 0.000 0.000 0.000 1
Ce2 0.000 0.500 0.500 1
Pm1 0.500 0.000 0.500 1
Sm1 0.500 0.500 0.000 1
N1 0.238 0.500 0.245 1
N2 0.239 0.000 0.747 1

Entry 8:
# Ce3Pm4SmN8, optimized geometry, DFT GGA-PBE
# energy relative to the elements, uncorrected: -1487 meV per atom
# calculated density: 8.0 Mg/m³
# magnetic moment: 0.000 μB per atom
data_Ce3Pm4SmN8
_chemical_formula_sum 'Ce9 Pm12 Sm3 N24'
_cell_length_a 7.1773
_cell_length_b 7.1773
_cell_length_c 17.5664
_cell_angle_alpha 90.00
_cell_angle_beta 90.00
_cell_angle_gamma 120.00
_space_group_name_H-M_alt 'R -3 m'
_space_group_IT_number 166
_space_group_name_Hall '-R 3 2"'
loop_
_atom_site_label
_atom_site_fract_x
_atom_site_fract_y
_atom_site_fract_z
_atom_site_occupancy
Ce1 0.0000 0.5000 0.0000 1
Pm1 0.0000 0.0000 0.5000 1
Pm2 0.0000 0.5000 0.5000 1
Sm1 0.0000 0.0000 0.0000 1
N1 0.0000 0.0000 0.2538 1
N2 0.0056 0.5028 0.2535 1

Entry 9:
# Ce2PmSnN2, optimized geometry, DFT GGA-PBE
# energy relative to the elements, uncorrected: -767 meV per atom
# calculated density: 6.9 Mg/m³
# magnetic moment: 0.248 μB per atom
data_Ce2PmSnN2
_chemical_formula_sum 'Ce2 Pm1 Sn1 N2'
_cell_length_a 4.538
_cell_length_b 4.538
_cell_length_c 6.694
_cell_angle_alpha 90.00
_cell_angle_beta 90.00
_cell_angle_gamma 90.00
_space_group_name_H-M_alt 'P 4/m m m'
_space_group_IT_number 123
_space_group_name_Hall '-P 4 2'
loop_
_atom_site_label
_atom_site_fract_x
_atom_site_fract_y
_atom_site_fract_z
_atom_site_occupancy
Ce1 0.000 0.000 0.225 1
Pm1 0.500 0.500 0.000 1
Sn1 0.500 0.500 0.500 1
N1 0.000 0.500 0.000 1

Entry 10:
# CePm2SnN, optimized geometry, DFT GGA-PBE
# energy relative to the elements, uncorrected: -968 meV per atom
# calculated density: 7.7 Mg/m³
# magnetic moment: 0.166 μB per atom
data_CePm2SnN
_chemical_formula_sum 'Ce1 Pm2 Sn1 N1'
_cell_length_a 5.005
_cell_length_b 5.005
_cell_length_c 4.838
_cell_angle_alpha 90.00
_cell_angle_beta 90.00
_cell_angle_gamma 90.00
_space_group_name_H-M_alt 'P 4/m m m'
_space_group_IT_number 123
_space_group_name_Hall '-P 4 2'
loop_
_atom_site_label
_atom_site_fract_x
_atom_site_fract_y
_atom_site_fract_z
_atom_site_occupancy
Ce1 0.000 0.000 0.000 1
Pm1 0.000 0.500 0.500 1
Sn1 0.500 0.500 0.000 1
N1 0.000 0.000 0.500 1

Entry 11:
# Ce2PmSnN, optimized geometry, DFT GGA-PBE
# energy relative to the elements, uncorrected: -963 meV per atom
# calculated density: 7.7 Mg/m³
# magnetic moment: 0.332 μB per atom
data_Ce2PmSnN
_chemical_formula_sum 'Ce2 Pm1 Sn1 N1'
_cell_length_a 4.872
_cell_length_b 4.872
_cell_length_c 5.044
_cell_angle_alpha 90.00
_cell_angle_beta 90.00
_cell_angle_gamma 90.00
_space_group_name_H-M_alt 'P 4/m m m'
_space_group_IT_number 123
_space_group_name_Hall '-P 4 2'
loop_
_atom_site_label
_atom_site_fract_x
_atom_site_fract_y
_atom_site_fract_z
_atom_site_occupancy
Ce1 0.000 0.500 0.000 1
Pm1 0.000 0.000 0.500 1
Sn1 0.500 0.500 0.500 1
N1 0.000 0.000 0.000 1

Entry 12:
# SrCe2Pm3N6, optimized geometry, DFT GGA-PBE
# energy relative to the elements, uncorrected: -1342 meV per atom
# calculated density: 7.3 Mg/m³
# magnetic moment: 0.004 μB per atom
data_SrCe2Pm3N6
_chemical_formula_sum 'Sr2 Ce4 Pm6 N12'
_cell_length_a 15.688
_cell_length_b 3.627
_cell_length_c 7.270
_cell_angle_alpha 90.00
_cell_angle_beta 103.35
_cell_angle_gamma 90.00
_space_group_name_H-M_alt 'C 1 2/m 1'
_space_group_IT_number 12
_space_group_name_Hall '-C 2y'
loop_
_atom_site_label
_atom_site_fract_x
_atom_site_fract_y
_atom_site_fract_z
_atom_site_occupancy
Sr1 0.000 0.000 0.000 1
Ce1 0.165 0.500 0.332 1
Pm1 0.000 0.000 0.500 1
Pm2 0.168 0.500 0.835 1
N1 0.013 0.500 0.274 1
N2 0.171 0.000 0.581 1
N3 0.174 0.000 0.097 1

Entry 13:
# SrCe2PmN4, optimized geometry, DFT GGA-PBE
# energy relative to the elements, uncorrected: -1313 meV per atom
# calculated density: 7.0 Mg/m³
# magnetic moment: 0.063 μB per atom
data_SrCe2PmN4
_chemical_formula_sum 'Sr4 Ce8 Pm4 N16'
_cell_length_a 7.238
_cell_length_b 7.255
_cell_length_c 10.245
_cell_angle_alpha 90.00
_cell_angle_beta 90.00
_cell_angle_gamma 90.00
_space_group_name_H-M_alt 'I m m a'
_space_group_IT_number 74
_space_group_name_Hall '-I 2b 2'
loop_
_atom_site_label
_atom_site_fract_x
_atom_site_fract_y
_atom_site_fract_z
_atom_site_occupancy
Sr1 0.250 0.250 0.250 1
Ce1 0.000 0.000 0.000 1
Ce2 0.250 0.250 0.750 1
Pm1 0.000 0.000 0.500 1
N1 0.000 0.027 0.756 1
N2 0.243 0.250 0.989 1

Entry 14:
# CePm2TaN4, optimized geometry, DFT GGA-PBE
# energy relative to the elements, uncorrected: -1357 meV per atom
# calculated density: 9.5 Mg/m³
# magnetic moment: 0.000 μB per atom
data_CePm2TaN4
_chemical_formula_sum 'Ce4 Pm8 Ta4 N16'
_cell_length_a 6.808
_cell_length_b 7.009
_cell_length_c 9.729
_cell_angle_alpha 90.00
_cell_angle_beta 90.00
_cell_angle_gamma 90.00
_space_group_name_H-M_alt 'I m m a'
_space_group_IT_number 74
_space_group_name_Hall '-I 2b 2'
loop_
_atom_site_label
_atom_site_fract_x
_atom_site_fract_y
_atom_site_fract_z
_atom_site_occupancy
Ce1 0.000 0.000 0.000 1
Pm1 0.000 0.000 0.500 1
Pm2 0.250 0.250 0.250 1
Ta1 0.250 0.250 0.750 1
N1 0.000 0.037 0.753 1
N2 0.244 0.250 0.974 1

Entry 15:
# Ce3Pm3TaN8, optimized geometry, DFT GGA-PBE
# energy relative to the elements, uncorrected: -1360 meV per atom
# calculated density: 7.8 Mg/m³
# magnetic moment: 0.001 μB per atom
data_Ce3Pm3TaN8
_chemical_formula_sum 'Ce9 Pm9 Ta3 N24'
_cell_length_a 6.9897
_cell_length_b 6.9897
_cell_length_c 17.2758
_cell_angle_alpha 90.00
_cell_angle_beta 90.00
_cell_angle_gamma 120.00
_space_group_name_H-M_alt 'R -3 m'
_space_group_IT_number 166
_space_group_name_Hall '-R 3 2"'
loop_
_atom_site_label
_atom_site_fract_x
_atom_site_fract_y
_atom_site_fract_z
_atom_site_occupancy
Ce1 0.0000 0.5000 0.0000 1
Pm1 0.0000 0.5000 0.5000 1
Ta1 0.0000 0.0000 0.0000 1
N1 0.0000 0.0000 0.2529 1
N2 0.0367 0.5184 0.7359 1

Entry 16:
# Ce2PmTaN5, optimized geometry, DFT GGA-PBE
# energy relative to the elements, uncorrected: -1299 meV per atom
# calculated density: 8.5 Mg/m³
# magnetic moment: 0.121 μB per atom
data_Ce2PmTaN5
_chemical_formula_sum 'Ce8 Pm4 Ta4 N20'
_cell_length_a 3.543
_cell_length_b 14.381
_cell_length_c 10.401
_cell_angle_alpha 90.00
_cell_angle_beta 90.00
_cell_angle_gamma 90.00
_space_group_name_H-M_alt 'C m c 21'
_space_group_IT_number 36
_space_group_name_Hall 'C 2c -2'
loop_
_atom_site_label
_atom_site_fract_x
_atom_site_fract_y
_atom_site_fract_z
_atom_site_occupancy
Ce1 0.000 0.108 0.000 1
Ce2 0.000 0.133 0.583 1
Pm1 0.000 0.222 0.301 1
Ta1 0.000 0.475 0.776 1
N1 0.000 0.052 0.363 1
N2 0.000 0.281 0.989 1
N3 0.000 0.341 0.680 1
N4 0.000 0.388 0.337 1
N5 0.000 0.482 0.095 1

Entry 17:
# Ce3Pm4TaN8, optimized geometry, DFT GGA-PBE
# energy relative to the elements, uncorrected: -1424 meV per atom
# calculated density: 8.7 Mg/m³
# magnetic moment: 0.000 μB per atom
data_Ce3Pm4TaN8
_chemical_formula_sum 'Ce9 Pm12 Ta3 N24'
_cell_length_a 7.0246
_cell_length_b 7.0246
_cell_length_c 17.2728
_cell_angle_alpha 90.00
_cell_angle_beta 90.00
_cell_angle_gamma 120.00
_space_group_name_H-M_alt 'R -3 m'
_space_group_IT_number 166
_space_group_name_Hall '-R 3 2"'
loop_
_atom_site_label
_atom_site_fract_x
_atom_site_fract_y
_atom_site_fract_z
_atom_site_occupancy
Ce1 0.0000 0.5000 0.0000 1
Pm1 0.0000 0.0000 0.5000 1
Pm2 0.0000 0.5000 0.5000 1
Ta1 0.0000 0.0000 0.0000 1
N1 0.0000 0.0000 0.2542 1
N2 0.0278 0.5139 0.7396 1

Entry 18:
# TbCe3Pm2N6, optimized geometry, DFT GGA-PBE
# energy relative to the elements, uncorrected: -1517 meV per atom
# calculated density: 8.2 Mg/m³
# magnetic moment: 0.012 μB per atom
data_TbCe3Pm2N6
_chemical_formula_sum 'Tb2 Ce6 Pm4 N12'
_cell_length_a 6.186
_cell_length_b 10.712
_cell_length_c 6.174
_cell_angle_alpha 90.00
_cell_angle_beta 109.51
_cell_angle_gamma 90.00
_space_group_name_H-M_alt 'C 1 2/m 1'
_space_group_IT_number 12
_space_group_name_Hall '-C 2y'
loop_
_atom_site_label
_atom_site_fract_x
_atom_site_fract_y
_atom_site_fract_z
_atom_site_occupancy
Tb1 0.000 0.000 0.000 1
Ce1 0.000 0.166 0.500 1
Ce2 0.000 0.500 0.500 1
Pm1 0.000 0.333 0.000 1
N1 0.240 0.000 0.741 1
N2 0.249 0.163 0.258 1

Entry 19:
# TbCe2PmN4, optimized geometry, DFT GGA-PBE
# energy relative to the elements, uncorrected: -1532 meV per atom
# calculated density: 8.3 Mg/m³
# magnetic moment: 0.046 μB per atom
data_TbCe2PmN4
_chemical_formula_sum 'Tb1 Ce2 Pm1 N4'
_cell_length_a 6.160
_cell_length_b 3.562
_cell_length_c 6.171
_cell_angle_alpha 90.00
_cell_angle_beta 109.49
_cell_angle_gamma 90.00
_space_group_name_H-M_alt 'P 1 2/m 1'
_space_group_IT_number 10
_space_group_name_Hall '-P 2y'
loop_
_atom_site_label
_atom_site_fract_x
_atom_site_fract_y
_atom_site_fract_z
_atom_site_occupancy
Tb1 0.000 0.000 0.000 1
Ce1 0.500 0.000 0.500 1
Ce2 0.500 0.500 0.000 1
Pm1 0.000 0.500 0.500 1
N1 0.255 0.500 0.247 1
N2 0.259 0.000 0.758 1

Entry 20:
# TbCePm2N4, optimized geometry, DFT GGA-PBE
# energy relative to the elements, uncorrected: -1523 meV per atom
# calculated density: 8.3 Mg/m³
# magnetic moment: 0.000 μB per atom
data_TbCePm2N4
_chemical_formula_sum 'Tb1 Ce1 Pm2 N4'
_cell_length_a 6.165
_cell_length_b 3.573
_cell_length_c 6.178
_cell_angle_alpha 90.00
_cell_angle_beta 109.30
_cell_angle_gamma 90.00
_space_group_name_H-M_alt 'P 1 2/m 1'
_space_group_IT_number 10
_space_group_name_Hall '-P 2y'
loop_
_atom_site_label
_atom_site_fract_x
_atom_site_fract_y
_atom_site_fract_z
_atom_site_occupancy
Tb1 0.000 0.000 0.000 1
Ce1 0.500 0.500 0.000 1
Pm1 0.000 0.500 0.500 1
Pm2 0.500 0.000 0.500 1
N1 0.250 0.500 0.239 1
N2 0.256 0.000 0.761 1

Entry 21:
# TbCePmN3, optimized geometry, DFT GGA-PBE
# energy relative to the elements, uncorrected: -1330 meV per atom
# calculated density: 8.3 Mg/m³
# magnetic moment: 0.151 μB per atom
data_TbCePmN3
_chemical_formula_sum 'Tb2 Ce2 Pm2 N6'
_cell_length_a 6.060
_cell_length_b 3.463
_cell_length_c 9.366
_cell_angle_alpha 90.00
_cell_angle_beta 96.66
_cell_angle_gamma 90.00
_space_group_name_H-M_alt 'P 1 21/m 1'
_space_group_IT_number 11
_space_group_name_Hall '-P 2yb'
loop_
_atom_site_label
_atom_site_fract_x
_atom_site_fract_y
_atom_site_fract_z
_atom_site_occupancy
Tb1 0.239 0.250 0.449 1
Ce1 0.181 0.750 0.134 1
Pm1 0.291 0.750 0.773 1
N1 0.023 0.250 0.652 1
N2 0.219 0.250 0.975 1
N3 0.472 0.750 0.335 1